[1]
A plane-wave DFT calculation with GGA-PBEsol was carried out for an optimized crystal structure of TaCo2As.

abc: 2.7525 4.6052 4.9252
angles: 116.69 104.40 93.78
Each line ends with the local moment (μB).
Fractional coordinates of all 4 atoms:
1 As 0.0000 0.5000 0.0000  0.00
2 Co 0.0000 0.0000 0.5000  0.57
3 Co 0.5000 0.5000 0.5000  0.57
4 Ta 0.5000 0.0000 0.0000  -0.06

Summary:
Space-group type   No. 12

[2]
A plane-wave DFT calculation with GGA-PBEsol was carried out for an optimized crystal structure of TaCo2As.

abc: 2.7720 3.8216 5.1368
angles: 90.00 105.65 90.00
Each line ends with the local moment (μB).
Fractional coordinates of all 4 atoms:
1 As 0.3001 0.5000 0.6002  0.00
2 Co 0.1795 0.0000 0.3590  0.66
3 Co 0.5711 0.5000 0.1423  0.97
4 Ta 0.9337 0.0000 0.8674  -0.05

Summary:
Space-group type   No. 38

no.,DFT formation energy (eV per atom),electronic total energy (eV/cell)
1,0.102,-32.7
2,-0.103,-33.5